A relaxed structure of HgSe2S. Source: Alexandria via LeMat-Bulk, functional PBEsol.

Results
Its space group is I-42d (122). As for the mass density: 6.31 g/cm³. As for the total energy: -2.9463 eV/atom. The calculation puts the density of states at the Fermi level at 0.9 states/eV per cell.

Unit cell a=5.3426 b=5.3426 c=8.1302 alpha=109.18 beta=109.18 gamma=90.00
Fractional positions:
S  0.7500  0.2500  0.5000
S  0.5000  0.5000  0.0000
Hg  0.2500  0.7500  0.5000
Hg  0.0000  0.0000  0.0000
Se  0.4273  0.8750  0.2500
Se  0.8227  0.3750  0.2500
Se  0.1250  0.1773  0.7500
Se  0.6250  0.5727  0.7500



A relaxed structure of Hg2SeS. Source: Alexandria via LeMat-Bulk, functional PBEsol.

Results
Its space group is P-4m2 (115). As for the mass density: 7.87 g/cm³. As for the total energy: -2.5165 eV/atom. The calculation puts the density of states at the Fermi level at 0.2 states/eV per cell. For the distance to the lowest polymorph of the same formula, the calculation gives 2.7 meV/atom.

Unit cell a=4.2443 b=4.2443 c=6.0012 alpha=90.00 beta=90.00 gamma=90.00
Fractional positions:
S  0.5000  0.5000  0.0000
Hg  0.5000  0.0000  0.7625
Hg  0.0000  0.5000  0.2375
Se  0.0000  0.0000  0.5000



A relaxed structure of Hg2SeS. Source: Alexandria via LeMat-Bulk, functional PBEsol.

Results
Its space group is I-42d (122). As for the mass density: 7.88 g/cm³. As for the total energy: -2.5192 eV/atom. The calculation puts the density of states at the Fermi level at 0.6 states/eV per cell. For the distance to the lowest polymorph of the same formula, the calculation gives 0.0 meV/atom.

Unit cell a=6.0035 b=6.0035 c=7.3440 alpha=114.13 beta=114.13 gamma=90.00
Fractional positions:
S  0.7500  0.2500  0.5000
S  0.5000  0.5000  0.0000
Hg  0.3898  0.8750  0.2500
Hg  0.8602  0.3750  0.2500
Hg  0.1250  0.1398  0.7500
Hg  0.6250  0.6102  0.7500
Se  0.2500  0.7500  0.5000
Se  0.0000  0.0000  0.0000



A relaxed structure of YHgSe2S. Source: Alexandria via LeMat-Bulk, functional PBEsol.

Results
Its space group is P4/mmm (123). As for the mass density: 6.66 g/cm³. As for the total energy: -4.0747 eV/atom. The calculation puts the density of states at the Fermi level at 1.9 states/eV per cell.

Unit cell a=4.9898 b=4.9898 c=4.7984 alpha=90.00 beta=90.00 gamma=90.00
Fractional positions:
Y  0.5000  0.5000  0.5000
S  0.0000  0.0000  0.0000
Hg  0.0000  0.0000  0.5000
Se  0.0000  0.5000  0.0000
Se  0.5000  0.0000  0.0000



A relaxed structure of SiHgTe2S. Source: Alexandria via LeMat-Bulk, functional PBEsol.

Results
Its space group is P4/mmm (123). As for the mass density: 6.28 g/cm³. As for the total energy: -2.9138 eV/atom. The calculation puts the density of states at the Fermi level at 1.5 states/eV per cell.

Unit cell a=4.9036 b=5.2749 c=5.2749 alpha=90.00 beta=90.00 gamma=90.00
Fractional positions:
S  0.0000  0.0000  0.0000
Te  0.0000  0.0000  0.5000
Te  0.0000  0.5000  0.0000
Si  0.5000  0.5000  0.5000
Hg  0.5000  0.0000  0.0000



A relaxed structure of SnHgS2. Source: Alexandria via LeMat-Bulk, functional PBEsol.

Results
Its space group is R-3m (166). As for the mass density: 5.71 g/cm³. As for the total energy: -3.6264 eV/atom. The calculation puts the density of states at the Fermi level at 0.5 states/eV per cell.

Unit cell a=3.6016 b=3.6016 c=10.1453 alpha=79.78 beta=79.78 gamma=60.00
Fractional positions:
S  0.8835  0.8835  0.3495
S  0.1165  0.1165  0.6505
Hg  0.0000  0.0000  0.0000
Sn  0.5000  0.5000  0.5000



A relaxed structure of SnHgS3. Source: Alexandria via LeMat-Bulk, functional PBEsol.

Results
Its space group is Pm-3m (221). As for the mass density: 5.89 g/cm³. As for the total energy: -3.1605 eV/atom. The calculation puts the density of states at the Fermi level at 3.0 states/eV per cell.

Unit cell a=4.8931 b=4.8931 c=4.8931 alpha=90.00 beta=90.00 gamma=90.00
Fractional positions:
S  0.0000  0.5000  0.0000
S  0.0000  0.0000  0.5000
S  0.5000  0.0000  0.0000
Hg  0.0000  0.0000  0.0000
Sn  0.5000  0.5000  0.5000



A relaxed structure of SrHgS2. Source: Alexandria via LeMat-Bulk, functional PBEsol.

Results
Its space group is R-3m (166). As for the mass density: 4.42 g/cm³. As for the total energy: -3.8960 eV/atom. The calculation puts the density of states at the Fermi level at 0.0 states/eV per cell.

Unit cell a=4.5533 b=4.5533 c=7.8215 alpha=73.08 beta=73.08 gamma=60.00
Fractional positions:
Sr  0.5000  0.5000  0.5000
S  0.8959  0.8959  0.3124
S  0.1041  0.1041  0.6876
Hg  0.0000  0.0000  0.0000



A relaxed structure of Ta3HgS. Source: Alexandria via LeMat-Bulk, functional PBEsol.

Results
Its space group is Pm-3m (221). As for the mass density: 10.48 g/cm³. As for the total energy: -6.1146 eV/atom. The calculation puts the density of states at the Fermi level at 5.1 states/eV per cell.

Unit cell a=4.9723 b=4.9723 c=4.9723 alpha=90.00 beta=90.00 gamma=90.00
Fractional positions:
S  0.5000  0.5000  0.5000
Hg  0.0000  0.0000  0.0000
Ta  0.0000  0.5000  0.0000
Ta  0.0000  0.0000  0.5000
Ta  0.5000  0.0000  0.0000



A relaxed structure of TaHgS2. Source: Alexandria via LeMat-Bulk, functional PBEsol.

Results
Its space group is R-3m (166). As for the mass density: 8.67 g/cm³. As for the total energy: -6.2479 eV/atom. The calculation puts the density of states at the Fermi level at 1.7 states/eV per cell.

Unit cell a=3.2720 b=3.2720 c=9.3957 alpha=79.97 beta=79.97 gamma=60.00
Fractional positions:
S  0.8899  0.8899  0.3302
S  0.1101  0.1101  0.6698
Hg  0.0000  0.0000  0.0000
Ta  0.5000  0.5000  0.5000



A relaxed structure of ZrTaHg2S. Source: Alexandria via LeMat-Bulk, functional PBEsol.

Results
Its space group is P4/mmm (123). As for the mass density: 10.79 g/cm³. As for the total energy: -4.7703 eV/atom. The calculation puts the density of states at the Fermi level at 4.3 states/eV per cell.

Unit cell a=4.5294 b=4.8947 c=4.8947 alpha=90.00 beta=90.00 gamma=90.00
Fractional positions:
S  0.0000  0.0000  0.0000
Hg  0.0000  0.0000  0.5000
Hg  0.0000  0.5000  0.0000
Zr  0.5000  0.5000  0.5000
Ta  0.5000  0.0000  0.0000



A relaxed structure of Tc2HgS. Source: Alexandria via LeMat-Bulk, functional PBEsol.

Results
Its space group is Fm-3m (225). As for the mass density: 12.03 g/cm³. As for the total energy: -6.2341 eV/atom. The calculation puts the density of states at the Fermi level at 3.9 states/eV per cell.

Unit cell a=4.3740 b=4.3740 c=4.3740 alpha=60.00 beta=60.00 gamma=60.00
Fractional positions:
S  0.0000  0.0000  0.0000
Hg  0.5000  0.5000  0.5000
Tc  0.2500  0.2500  0.2500
Tc  0.7500  0.7500  0.7500